Entry 1:
! Ca2TlTe PBE relaxed; values from VASP
! Density ... 5.71 g cm⁻³
! Distance to the lowest polymorph of the same formula ... 0.15 kcal/mol of atoms
! Symmetry ... P4/mmm
! Crystal system ... tetragonal
&SYSTEM
  ibrav = 0, nat = 4, ntyp = 3
/
ATOMIC_SPECIES
Ca 40.08 Ca.upf
Tl 204.38 Tl.upf
Te 127.60 Te.upf
CELL_PARAMETERS angstrom
3.957 0.000 0.000
0.000 3.957 0.000
0.000 0.000 7.651
ATOMIC_POSITIONS crystal
Ca 0.000 0.000 0.243
Ca 0.000 0.000 0.757
Tl 0.500 0.500 0.500
Te 0.500 0.500 0.000



Entry 2:
! Ca2TlTe PBE relaxed; values from VASP
! Density ... 5.47 g cm⁻³
! Distance to the lowest polymorph of the same formula ... 2.52 kcal/mol of atoms
! Symmetry ... I-4m2
! Crystal system ... tetragonal
&SYSTEM
  ibrav = 0, nat = 4, ntyp = 3
/
ATOMIC_SPECIES
Ca 40.08 Ca.upf
Tl 204.38 Tl.upf
Te 127.60 Te.upf
CELL_PARAMETERS angstrom
-2.270 2.270 6.073
2.270 -2.270 6.073
2.270 2.270 -6.073
ATOMIC_POSITIONS crystal
Ca 0.000 0.000 0.000
Ca 0.750 0.250 0.500
Tl 0.500 0.500 0.000
Te 0.250 0.750 0.500



Entry 3:
! CaTl2Te PBE relaxed; values from VASP
! Density ... 7.37 g cm⁻³
! Distance to the lowest polymorph of the same formula ... 0.05 kcal/mol of atoms
! Symmetry ... Pm
! Crystal system ... monoclinic
&SYSTEM
  ibrav = 0, nat = 4, ntyp = 3
/
ATOMIC_SPECIES
Ca 40.08 Ca.upf
Tl 204.38 Tl.upf
Te 127.60 Te.upf
CELL_PARAMETERS angstrom
4.175 0.000 0.000
0.000 4.220 0.000
-0.030 0.000 7.373
ATOMIC_POSITIONS crystal
Ca 0.000 0.000 0.000
Tl 0.496 0.500 0.699
Tl 0.994 0.000 0.470
Te 0.501 0.500 0.139



Entry 4:
! Ca2TlTe PBE relaxed; values from VASP
! Density ... 5.44 g cm⁻³
! Distance to the lowest polymorph of the same formula ... 12.56 kcal/mol of atoms
! Symmetry ... F-43m
! Crystal system ... cubic
&SYSTEM
  ibrav = 0, nat = 4, ntyp = 3
/
ATOMIC_SPECIES
Ca 40.08 Ca.upf
Tl 204.38 Tl.upf
Te 127.60 Te.upf
CELL_PARAMETERS angstrom
0.000 3.978 3.978
3.978 0.000 3.978
3.978 3.978 0.000
ATOMIC_POSITIONS crystal
Ca 0.000 0.000 0.000
Ca 0.250 0.250 0.250
Tl 0.500 0.500 0.500
Te 0.750 0.750 0.750



Entry 5:
! CaTl2Te PBE relaxed; values from VASP
! Density ... 7.60 g cm⁻³
! Distance to the lowest polymorph of the same formula ... 8.06 kcal/mol of atoms
! Symmetry ... Fm-3m
! Crystal system ... cubic
&SYSTEM
  ibrav = 0, nat = 4, ntyp = 3
/
ATOMIC_SPECIES
Ca 40.08 Ca.upf
Tl 204.38 Tl.upf
Te 127.60 Te.upf
CELL_PARAMETERS angstrom
0.000 3.979 3.979
3.979 0.000 3.979
3.979 3.979 0.000
ATOMIC_POSITIONS crystal
Ca 0.000 0.000 0.000
Tl 0.250 0.250 0.250
Tl 0.750 0.750 0.750
Te 0.500 0.500 0.500



Entry 6:
! CaTl2Te PBE relaxed; values from VASP
! Density ... 7.14 g cm⁻³
! Distance to the lowest polymorph of the same formula ... 9.08 kcal/mol of atoms
! Symmetry ... R-3m
! Crystal system ... trigonal
&SYSTEM
  ibrav = 0, nat = 4, ntyp = 3
/
ATOMIC_SPECIES
Ca 40.08 Ca.upf
Tl 204.38 Tl.upf
Te 127.60 Te.upf
CELL_PARAMETERS angstrom
2.126 1.228 8.559
-2.126 1.228 8.559
0.000 -2.455 8.559
ATOMIC_POSITIONS crystal
Ca 0.000 0.000 0.000
Tl 0.244 0.244 0.244
Tl 0.756 0.756 0.756
Te 0.500 0.500 0.500